The following is a GGA-PBEsol calculation of a relaxed Ba3ZnSb2O9 crystal, from the Alexandria database.

The structure belongs to space group P6_3/mmc (No. 194); the cell edges are 5.8536, 5.8536 and 14.5094 Å and the angles 90.00°, 90.00° and 120.00°. The asymmetric unit holds Ba at (0.0000, 0.0000, 0.2500), Ba at (0.3333, 0.6667, 0.0870), Zn at (0.0000, 0.0000, 0.0000), Sb at (0.3333, 0.6667, 0.6518), O at (0.0341, 0.5170, 0.7500) and O at (0.1681, 0.3361, 0.5837).

The calculated volume is 14.35 Å³ per atom. The calculation puts the formation energy (no corrections) at -48.91 kcal/mol of atoms. The density is 6.671 g/cm³.